(1)
! Ac3NiRh (PBE, optimized geometry); values from VASP
! * formation energy from the elements: -399 meV per atom
&SYSTEM
  ibrav = 0, nat = 10, ntyp = 3
/
ATOMIC_SPECIES
Ni 58.69 Ni.upf
Rh 102.91 Rh.upf
Ac 227.00 Ac.upf
CELL_PARAMETERS angstrom
-3.646 2.150 6.093
-7.242 1.538 -0.376
-5.105 -5.339 3.342
ATOMIC_POSITIONS angstrom
Ni -12.349 -2.805 7.141
Ni -3.644 1.155 1.918
Rh -11.622 0.412 6.432
Rh -4.371 -2.063 2.626
Ac -6.467 1.009 6.323
Ac -5.960 -2.957 5.040
Ac -9.589 -1.739 6.889
Ac -10.033 1.306 4.018
Ac -6.404 0.088 2.170
Ac -9.525 -2.660 2.735

***

(2)
! SmScS2 (PBE, optimized geometry); values from VASP
! * E_form (uncorrected): -7.4 eV per formula unit
&SYSTEM
  ibrav = 0, nat = 4, ntyp = 3
/
ATOMIC_SPECIES
Sm 150.36 Sm.upf
S 32.06 S.upf
Sc 44.96 Sc.upf
CELL_PARAMETERS angstrom
3.710 0.000 0.000
-1.855 3.213 0.002
0.000 -0.004 6.915
ATOMIC_POSITIONS angstrom
Sm -0.927 1.605 3.458
S 0.927 2.674 5.367
S 0.927 0.535 1.550
Sc -0.927 1.606 0.001

***

(3)
! CuTcAg (PBE, optimized geometry); values from VASP
! * formation energy from the elements: 560 meV per atom
&SYSTEM
  ibrav = 0, nat = 3, ntyp = 3
/
ATOMIC_SPECIES
Tc 98.00 Tc.upf
Ag 107.87 Ag.upf
Cu 63.55 Cu.upf
CELL_PARAMETERS angstrom
-1.121 -4.788 -0.748
0.302 -2.198 -4.452
2.202 2.438 3.735
ATOMIC_POSITIONS angstrom
Tc -0.555 -4.732 -3.523
Ag -0.817 -6.965 -5.185
Cu -0.267 -2.275 -1.694

***

(4)
! SrScSb2 (PBE, optimized geometry); values from VASP
! * E_form (uncorrected): -2.5 eV per formula unit
&SYSTEM
  ibrav = 0, nat = 4, ntyp = 3
/
ATOMIC_SPECIES
Sb 121.76 Sb.upf
Sc 44.96 Sc.upf
Sr 87.62 Sr.upf
CELL_PARAMETERS angstrom
5.769 0.001 0.000
-0.003 5.769 0.000
0.000 0.000 3.366
ATOMIC_POSITIONS angstrom
Sb 0.000 0.000 0.000
Sb 2.883 2.885 0.000
Sc 2.884 0.001 1.683
Sr -0.001 2.884 1.683

***

(5)
! Pr2Dy3Mg3 (PBE, optimized geometry); values from VASP
! * formation energy from the elements: -44 meV per atom
&SYSTEM
  ibrav = 0, nat = 8, ntyp = 3
/
ATOMIC_SPECIES
Mg 24.30 Mg.upf
Dy 162.50 Dy.upf
Pr 140.91 Pr.upf
CELL_PARAMETERS angstrom
3.795 0.000 -0.611
-0.205 5.300 -1.275
-0.044 0.031 11.812
ATOMIC_POSITIONS angstrom
Mg -0.103 2.650 -0.637
Mg 0.395 0.606 2.455
Mg 3.150 4.726 7.471
Dy 1.897 0.000 -0.306
Dy 2.218 3.299 1.688
Dy 1.327 2.032 8.238
Pr 2.713 1.250 4.760
Pr 0.832 4.082 5.166

***

(6)
! Nb3GaRe (PBE, optimized geometry); values from VASP
! * formation energy from the elements: 1425 meV per atom
&SYSTEM
  ibrav = 0, nat = 5, ntyp = 3
/
ATOMIC_SPECIES
Re 186.21 Re.upf
Nb 92.91 Nb.upf
Ga 69.72 Ga.upf
CELL_PARAMETERS angstrom
-4.163 -1.827 1.018
1.474 -0.955 4.315
-1.484 4.178 1.431
ATOMIC_POSITIONS angstrom
Re -2.087 0.698 3.382
Nb 0.737 -0.477 2.158
Nb -0.742 2.089 0.716
Nb -2.082 -0.914 0.509
Ga 0.000 0.000 0.000

***

(7)
! CrBiPdC2 (PBE, optimized geometry); values from VASP
! * formation energy from the elements: 3190 meV per atom
&SYSTEM
  ibrav = 0, nat = 5, ntyp = 4
/
ATOMIC_SPECIES
C 12.01 C.upf
Bi 208.98 Bi.upf
Pd 106.42 Pd.upf
Cr 52.00 Cr.upf
CELL_PARAMETERS angstrom
4.454 0.000 0.000
0.000 5.060 0.000
0.000 0.000 4.454
ATOMIC_POSITIONS angstrom
C 2.227 0.000 0.000
C 0.000 0.000 2.227
Bi 0.000 0.000 0.000
Pd 2.227 2.530 2.227
Cr 0.000 2.530 0.000

***

(8)
! LiAgPb2Se (PBE, optimized geometry); values from VASP
! * E_form (uncorrected): 0.6 eV per formula unit
&SYSTEM
  ibrav = 0, nat = 5, ntyp = 4
/
ATOMIC_SPECIES
Li 6.94 Li.upf
Se 78.96 Se.upf
Pb 207.20 Pb.upf
Ag 107.87 Ag.upf
CELL_PARAMETERS angstrom
-5.268 1.106 -1.146
-1.353 -2.703 3.610
0.190 4.368 3.342
ATOMIC_POSITIONS angstrom
Li -0.676 -1.351 1.805
Se -3.216 1.386 2.903
Pb -2.634 0.553 -0.573
Pb 0.095 2.184 1.671
Ag 0.000 0.000 0.000

***

(9)
! Mg2GaHRh (PBE, optimized geometry); values from VASP
! * total energy: -3.610 eV per atom
&SYSTEM
  ibrav = 0, nat = 5, ntyp = 4
/
ATOMIC_SPECIES
Mg 24.30 Mg.upf
Ga 69.72 Ga.upf
H 1.01 H.upf
Rh 102.91 Rh.upf
CELL_PARAMETERS angstrom
-0.646 -0.752 3.837
1.329 -3.700 -0.501
3.974 1.302 0.924
ATOMIC_POSITIONS angstrom
Mg 0.665 -1.850 -0.251
Mg -0.323 -0.376 1.919
Ga 1.987 0.651 0.462
H 0.000 0.000 0.000
Rh 2.329 -1.575 2.130

***

(10)
! Pm2CoAgC (PBE, optimized geometry); values from VASP
! * formation energy from the elements: -279 meV per atom
&SYSTEM
  ibrav = 0, nat = 5, ntyp = 4
/
ATOMIC_SPECIES
Co 58.93 Co.upf
Ag 107.87 Ag.upf
C 12.01 C.upf
Pm 145.00 Pm.upf
CELL_PARAMETERS angstrom
3.655 0.000 0.000
0.000 5.217 0.000
0.000 0.000 5.217
ATOMIC_POSITIONS angstrom
Co 1.827 0.000 0.000
Ag 1.827 2.609 2.609
C 0.000 0.000 0.000
Pm 0.000 0.000 2.609
Pm 0.000 2.609 0.000

***

(11)
! Tb3ErGe4 (PBE, optimized geometry); values from VASP
! * formation energy from the elements: -678 meV per atom
&SYSTEM
  ibrav = 0, nat = 8, ntyp = 3
/
ATOMIC_SPECIES
Tb 158.93 Tb.upf
Ge 72.64 Ge.upf
Er 167.26 Er.upf
CELL_PARAMETERS angstrom
-3.306 2.208 -0.631
-1.188 -3.297 -5.310
-2.001 -4.625 7.132
ATOMIC_POSITIONS angstrom
Tb -4.832 -3.692 -0.437
Tb -1.662 -2.023 1.628
Tb -0.594 -1.649 -2.655
Ge -2.906 -3.177 4.104
Ge -3.368 -4.459 2.042
Ge -3.588 -2.537 -2.913
Ge -3.126 -1.256 -0.851
Er -1.653 1.104 -0.316

***

(12)
! Cr2NiRh (PBE, optimized geometry); values from VASP
! * formation energy from the elements: 148 meV per atom
&SYSTEM
  ibrav = 0, nat = 4, ntyp = 3
/
ATOMIC_SPECIES
Rh 102.91 Rh.upf
Cr 52.00 Cr.upf
Ni 58.69 Ni.upf
CELL_PARAMETERS angstrom
-0.555 1.582 -2.472
1.956 -1.675 -1.512
-4.312 -3.747 -1.429
ATOMIC_POSITIONS angstrom
Rh -2.534 -2.857 -3.063
Cr -0.051 -0.045 -0.017
Cr -2.105 -1.829 -0.697
Ni -0.378 -0.983 -2.349

***

(13)
! Ca2LaBe2 (PBE, optimized geometry); values from VASP
! * formation energy from the elements: 405 meV per atom
&SYSTEM
  ibrav = 0, nat = 10, ntyp = 3
/
ATOMIC_SPECIES
Ca 40.08 Ca.upf
Be 9.01 Be.upf
La 138.91 La.upf
CELL_PARAMETERS angstrom
-7.563 3.363 2.410
-4.117 -5.613 -5.085
-0.158 -2.135 2.485
ATOMIC_POSITIONS angstrom
Ca -5.329 1.383 0.851
Ca -2.515 -1.617 -1.550
Ca -6.351 -3.634 -3.526
Ca -9.165 -0.633 -1.126
Be -3.291 -0.868 1.210
Be -7.772 -0.140 1.551
Be -4.065 -4.246 -1.742
Be -8.546 -3.517 -1.401
La 0.000 0.000 0.000
La -5.840 -1.125 -1.338

***

(14)
! PRu2I (PBE, optimized geometry); values from VASP
! * E_form (uncorrected): 1.0 eV per formula unit
&SYSTEM
  ibrav = 0, nat = 8, ntyp = 3
/
ATOMIC_SPECIES
Ru 101.07 Ru.upf
P 30.97 P.upf
I 126.90 I.upf
CELL_PARAMETERS angstrom
-1.770 -2.946 -4.161
2.210 -4.412 2.184
-4.771 -4.752 1.895
ATOMIC_POSITIONS angstrom
Ru -0.145 -4.501 1.054
Ru -3.334 -9.722 -0.447
Ru -3.273 -6.604 0.819
Ru -1.910 -3.394 -1.589
P -1.170 -6.422 1.545
P 0.220 -3.679 -0.988
I -3.160 -5.689 -1.627
I 0.000 0.000 0.000

***

Values of M_tot, in order: 0.0; 0.0; 1.1; 0.2; 0.0; 0.5; 0.3; 0.0; 0.0; 0.0; 0.0; 6.4; 0.5; 0.0, all in μB/cell.